# TcNiPt3

A relaxed structure of TcNiPt3 (PBE-GGA, Alexandria via LeMat-Bulk).

The density of states at the Fermi level comes out at 5.78 states/eV/cell. The calculated density comes out at 13.24 g/cm³. The energy of formation is 1212.9 meV/atom.

It has space group Pm-3m (No. 221), with a = 4.531 Å, b = 4.531 Å, c = 4.531 Å, α = 90.00°, β = 90.00° and γ = 90.00°. The asymmetric unit holds Tc at (0.000, 0.000, 0.000), Ni at (0.500, 0.500, 0.500) and Pt at (0.000, 0.500, 0.500).